A plane-wave DFT calculation with GGA-PBE was carried out for an optimized crystal structure of KFe2Pd2.

a = 7.9620 Å, b = 7.9620 Å, c = 2.7203 Å
α = 90.00°, β = 90.00°, γ = 90.00°
Last column: nearest neighbours and their distance in Å.
Positions (direct):
K 0.0000 0.0000 0.0000  2 K 2.72
K 0.5000 0.5000 0.0000  2 K 2.72
Fe 0.1083 0.3917 0.0000  3 Fe 2.44-2.72, 4 Pd 2.70
Fe 0.3917 0.8917 0.0000  3 Fe 2.44-2.72, 4 Pd 2.70
Fe 0.6083 0.1083 0.0000  3 Fe 2.44-2.72, 4 Pd 2.70
Fe 0.8917 0.6083 0.0000  3 Fe 2.44-2.72, 4 Pd 2.70
Pd 0.1769 0.6769 0.5000  6 Fe 2.70-2.77, 2 Pd 2.72
Pd 0.3231 0.1769 0.5000  6 Fe 2.70-2.77, 2 Pd 2.72
Pd 0.6769 0.8231 0.5000  6 Fe 2.70-2.77, 2 Pd 2.72
Pd 0.8231 0.3231 0.5000  6 Fe 2.70-2.77, 2 Pd 2.72

Output
Space-group type: P4/mbm
Formation energy, kJ/mol of formula units: 105.4
Crystal system: tetragonal
Total DFT energy (no corrections), eV per atom: -5.463
Spin magnetization, μB per formula unit: 6.5

---

A plane-wave DFT calculation with GGA-PBE was carried out for an optimized crystal structure of ZrRe2P.

a = 2.9769 Å, b = 2.9769 Å, c = 7.1210 Å
α = 90.00°, β = 90.00°, γ = 90.00°
Last column: nearest neighbours and their distance in Å.
Positions (direct):
Zr 0.0000 0.0000 0.0000  4 Zr 2.98, 8 Re 3.03
Re 0.5000 0.5000 0.3055  4 P 2.52, 1 Re 2.77
Re 0.5000 0.5000 0.6945  4 P 2.52, 1 Re 2.77
P 0.0000 0.0000 0.5000  8 Re 2.52

Output
Space-group type: P4/mmm
Formation energy, kJ/mol of formula units: -20.3
Crystal system: tetragonal
Total DFT energy (no corrections), eV per atom: -9.766
Spin magnetization, μB per formula unit: 0.0

---

A plane-wave DFT calculation with GGA-PBE was carried out for an optimized crystal structure of Tm4BiSe.

a = 10.4566 Å, b = 10.4566 Å, c = 6.1858 Å
α = 90.00°, β = 90.00°, γ = 149.77°
Last column: nearest neighbours and their distance in Å.
Positions (direct):
Tm 0.0583 0.9417 0.7500  1 Se 2.77
Tm 0.2091 0.7909 0.5024  1 Se 3.06, 5 Tm 3.06-3.41, 3 Bi 3.38-3.40
Tm 0.2091 0.7909 0.9976  1 Se 3.06, 5 Tm 3.06-3.41, 3 Bi 3.38-3.40
Tm 0.3757 0.6243 0.7500  2 Se 2.88, 2 Bi 3.12
Tm 0.6243 0.3757 0.2500  2 Se 2.88, 2 Bi 3.12
Tm 0.7909 0.2091 0.0024  1 Se 3.06, 5 Tm 3.06-3.41, 3 Bi 3.38-3.40
Tm 0.7909 0.2091 0.4976  1 Se 3.06, 5 Tm 3.06-3.41, 3 Bi 3.38-3.40
Tm 0.9417 0.0583 0.2500  1 Se 2.77
Bi 0.3573 0.6427 0.2500  10 Tm 3.12-3.40
Bi 0.6427 0.3573 0.7500  10 Tm 3.12-3.40
Se 0.0788 0.9212 0.2500  5 Tm 2.77-3.06
Se 0.9212 0.0788 0.7500  5 Tm 2.77-3.06

Output
Space-group type: Cmcm
Crystal system: orthorhombic
Total DFT energy (no corrections), eV per atom: -4.806
Spin magnetization, μB per formula unit: 0.0